No. 1
Tl8AgAs2 | PBE-GGA | optimized geometry

Lattice parameters (Å, degrees): 4.393 8.109 9.402 97.24 103.51 90.00
Sites, in units of the cell vectors:
Ag  0.500  0.000  0.000
Tl  0.199  0.319  0.398
Tl  0.597  0.515  0.194
Tl  0.013  0.758  0.026
Tl  0.337  0.016  0.675
As  0.813  0.267  0.626
Tl  0.403  0.485  0.806
Tl  0.801  0.681  0.602
As  0.187  0.733  0.374
Tl  0.663  0.984  0.325
Tl  0.987  0.242  0.974

Total DFT energy (no corrections): -2.786 eV/atom
N(E_F): 4.9 states/eV/f.u.
Symmetry: No. 12

=====

No. 2
TlAg2As | PBE-GGA | optimized geometry

Lattice parameters (Å, degrees): 4.792 3.192 5.747 90.76 90.00 90.00
Sites, in units of the cell vectors:
Ag  0.500  0.372  0.226
Tl  0.500  0.881  0.732
As  0.000  0.379  0.467
Ag  0.000  0.868  0.075

Total DFT energy (no corrections): -3.011 eV/atom
N(E_F): 1.0 states/eV/f.u.
Symmetry: No. 6

=====

No. 3
TlAg2As2 | PBE-GGA | optimized geometry

Lattice parameters (Å, degrees): 4.643 4.643 6.291 68.34 68.34 90.00
Sites, in units of the cell vectors:
Ag  0.250  0.750  0.500
As  0.614  0.614  0.773
As  0.386  0.386  0.227
Ag  0.750  0.250  0.500
Tl  0.000  0.000  0.000

N(E_F): 1.3 states/eV/f.u.
Symmetry: No. 139
Relative energy among the computed polymorphs: 0.0 meV per atom